Entry 1:
Compound: La2Sm5Er5
Source: the Alexandria database
Functional: PBE
Structure: optimized geometry

Unit cell a=5.0747 b=8.0690 c=10.8021 alpha=72.70 beta=76.41 gamma=71.67
Positions (direct):
La (0.9177, 0.4140, 0.7506)
La (0.0823, 0.5860, 0.2494)
Sm (0.8333, 0.8336, 0.4998)
Sm (0.2470, 0.7533, 0.7527)
Sm (0.7530, 0.2467, 0.2473)
Sm (0.1667, 0.1664, 0.5002)
Sm (0.0000, 0.0000, 0.0000)
Er (0.5000, 0.5000, 0.5000)
Er (0.3334, 0.3321, 0.0011)
Er (0.4156, 0.9192, 0.2496)
Er (0.5844, 0.0808, 0.7504)
Er (0.6666, 0.6679, 0.9989)

Results
ΔE_f (meV/atom): 26
Mass density (kg/m3): 7824
Calculated total energy (eV/f.u.): -55.96
Space-group type: C2/m, No. 12


Entry 2:
Compound: LaSm7Er12
Source: the Alexandria database
Functional: PBE
Structure: optimized geometry

Unit cell a=8.7050 b=8.7050 c=8.7050 alpha=88.69 beta=88.69 gamma=88.69
Positions (direct):
La (0.0000, 0.0000, 0.0000)
Sm (0.0007, 0.6384, 0.1220)
Sm (0.3616, 0.8780, 0.9993)
Sm (0.8780, 0.9993, 0.3616)
Sm (0.5000, 0.5000, 0.5000)
Sm (0.1220, 0.0007, 0.6384)
Sm (0.6384, 0.1220, 0.0007)
Sm (0.9993, 0.3616, 0.8780)
Er (0.7600, 0.2241, 0.6341)
Er (0.7759, 0.3659, 0.2400)
Er (0.4448, 0.1151, 0.3465)
Er (0.8849, 0.6535, 0.5552)
Er (0.3659, 0.2400, 0.7759)
Er (0.6535, 0.5552, 0.8849)
Er (0.3465, 0.4448, 0.1151)
Er (0.6341, 0.7600, 0.2241)
Er (0.1151, 0.3465, 0.4448)
Er (0.5552, 0.8849, 0.6535)
Er (0.2241, 0.6341, 0.7600)
Er (0.2400, 0.7759, 0.3659)

Results
ΔE_f (meV/atom): 233
Mass density (kg/m3): 8058
Calculated total energy (eV/f.u.): -88.05
Space-group type: R-3, No. 148


Entry 3:
Compound: La6SmEr2
Source: the Alexandria database
Functional: PBE
Structure: optimized geometry

Unit cell a=3.7002 b=10.1455 c=10.1455 alpha=55.82 beta=90.00 gamma=90.00
Positions (direct):
La (0.0000, 0.5063, 0.1613)
La (0.0000, 0.8387, 0.4937)
La (0.0000, 0.4937, 0.8387)
La (0.5000, 0.6756, 0.3244)
La (0.0000, 0.1613, 0.5063)
La (0.5000, 0.3244, 0.6756)
Sm (0.0000, 0.0000, 0.0000)
Er (0.5000, 0.1752, 0.1752)
Er (0.5000, 0.8248, 0.8248)

Results
ΔE_f (meV/atom): 116
Mass density (kg/m3): 6948
Calculated total energy (eV/f.u.): -42.36
Space-group type: Cmmm, No. 65


Entry 4:
Compound: La12Sm5Er2
Source: the Alexandria database
Functional: PBE
Structure: optimized geometry

Unit cell a=7.6505 b=11.1647 c=10.1617 alpha=58.66 beta=90.00 gamma=110.04
Positions (direct):
La (0.0034, 0.0068, 0.2038)
La (0.0667, 0.6675, 0.8352)
La (0.6008, 0.6675, 0.8352)
La (0.0897, 0.6812, 0.4726)
La (0.5915, 0.6812, 0.4726)
La (0.4877, 0.9755, 0.6866)
La (0.5123, 0.0245, 0.3134)
La (0.9103, 0.3188, 0.5274)
La (0.4085, 0.3188, 0.5274)
La (0.9333, 0.3325, 0.1648)
La (0.3992, 0.3325, 0.1648)
La (0.9966, 0.9932, 0.7962)
Sm (0.1730, 0.3459, 0.8188)
Sm (0.3237, 0.6474, 0.1591)
Sm (0.0000, 0.0000, 0.5000)
Sm (0.6763, 0.3526, 0.8409)
Sm (0.8270, 0.6541, 0.1812)
Er (0.6992, 0.0000, 0.0000)
Er (0.3008, 0.0000, 0.0000)

Results
ΔE_f (meV/atom): 151
Mass density (kg/m3): 6732
Calculated total energy (eV/f.u.): -88.98
Space-group type: C2/m, No. 12